Record 1
# Hf2In2C

An optimized crystal structure of Hf2In2C (PBE-GGA, Alexandria via LeMat-Bulk).

Cell and atoms, written as CIF:
```
data_Hf2In2C
_chemical_formula_sum 'Hf2 In2 C1'
_cell_length_a 10.390
_cell_length_b 10.390
_cell_length_c 10.390
_cell_angle_alpha 18.52
_cell_angle_beta 18.52
_cell_angle_gamma 18.52
_symmetry_space_group_name_H-M 'P 1'
_symmetry_Int_Tables_number 1
loop_
_symmetry_equiv_pos_as_xyz
'x,y,z'
loop_
_atom_site_label
_atom_site_type_symbol
_atom_site_fract_x
_atom_site_fract_y
_atom_site_fract_z
Hf1 Hf 0.206 0.206 0.206
Hf2 Hf 0.794 0.794 0.794
In1 In 0.046 0.046 0.046
In2 In 0.954 0.954 0.954
C1 C 0.500 0.500 0.500
```

Calculated values
Its density is 10.1 g/cm³. The formation energy comes out at -524.5 meV/atom. The calculation puts the magnetization at 0.000 μB/cell.

=====

Record 2
# CrCoNi2

An optimized crystal structure of CrCoNi2 (PBE-GGA, Alexandria via LeMat-Bulk).

Cell and atoms, written as CIF:
```
data_CrCoNi2
_chemical_formula_sum 'Cr1 Co1 Ni2'
_cell_length_a 4.322
_cell_length_b 2.477
_cell_length_c 4.363
_cell_angle_alpha 90.00
_cell_angle_beta 109.99
_cell_angle_gamma 90.00
_symmetry_space_group_name_H-M 'P 1'
_symmetry_Int_Tables_number 1
loop_
_symmetry_equiv_pos_as_xyz
'x,y,z'
loop_
_atom_site_label
_atom_site_type_symbol
_atom_site_fract_x
_atom_site_fract_y
_atom_site_fract_z
Cr1 Cr 0.000 0.000 0.000
Co1 Co 0.500 0.500 0.000
Ni1 Ni 0.000 0.500 0.500
Ni2 Ni 0.500 0.000 0.500
```

Calculated values
Its density is 8.6 g/cm³. The formation energy comes out at 103.4 meV/atom. The calculation puts the magnetization at 2.400 μB/cell.

=====

Record 3
# BeTe2Mo

An optimized crystal structure of BeTe2Mo (PBE-GGA, Alexandria via LeMat-Bulk).

Cell and atoms, written as CIF:
```
data_BeTe2Mo
_chemical_formula_sum 'Be1 Te2 Mo1'
_cell_length_a 4.521
_cell_length_b 4.521
_cell_length_c 5.754
_cell_angle_alpha 90.54
_cell_angle_beta 90.54
_cell_angle_gamma 46.50
_symmetry_space_group_name_H-M 'P 1'
_symmetry_Int_Tables_number 1
loop_
_symmetry_equiv_pos_as_xyz
'x,y,z'
loop_
_atom_site_label
_atom_site_type_symbol
_atom_site_fract_x
_atom_site_fract_y
_atom_site_fract_z
Be1 Be 0.000 0.000 0.000
Te1 Te 0.203 0.203 0.730
Te2 Te 0.797 0.797 0.270
Mo1 Mo 0.500 0.500 0.500
```

Calculated values
The total DFT energy (no corrections) comes out at -4.758 eV/atom. Its density is 7.0 g/cm³. The calculation puts the magnetization at 0.000 μB/cell.

=====

Record 4
# Cr2RhCl2

An optimized crystal structure of Cr2RhCl2 (PBE-GGA, Alexandria via LeMat-Bulk).

Cell and atoms, written as CIF:
```
data_Cr2RhCl2
_chemical_formula_sum 'Cr4 Rh2 Cl4'
_cell_length_a 7.291
_cell_length_b 7.291
_cell_length_c 3.270
_cell_angle_alpha 90.00
_cell_angle_beta 90.00
_cell_angle_gamma 90.00
_symmetry_space_group_name_H-M 'P 1'
_symmetry_Int_Tables_number 1
loop_
_symmetry_equiv_pos_as_xyz
'x,y,z'
loop_
_atom_site_label
_atom_site_type_symbol
_atom_site_fract_x
_atom_site_fract_y
_atom_site_fract_z
Cr1 Cr 0.176 0.324 0.000
Cr2 Cr 0.324 0.824 0.000
Cr3 Cr 0.676 0.176 0.000
Cr4 Cr 0.824 0.676 0.000
Rh1 Rh 0.000 0.000 0.000
Rh2 Rh 0.500 0.500 0.000
Cl1 Cl 0.142 0.642 0.500
Cl2 Cl 0.358 0.142 0.500
Cl3 Cl 0.642 0.858 0.500
Cl4 Cl 0.858 0.358 0.500
```

Calculated values
The polymorph energy (0 for the lowest one) is 0.0 meV/atom. Its density is 5.3 g/cm³. The calculation puts the magnetization at 15.674 μB/cell.